## V4Rh5 (GGA-PBE)

Data for a relaxed V4Rh5 crystal.

Cell lengths 3.810, 6.038, 6.038 Å; angles 84.27, 71.59, 71.59 degrees
Positions (direct):
Rh 0.167 0.665 0.000
Rh 0.832 0.000 0.335
Rh 0.833 0.335 0.000
Rh 0.168 0.000 0.665
Rh 0.500 0.000 0.000
V 0.500 0.323 0.677
V 0.822 0.677 0.677
V 0.178 0.323 0.323
V 0.500 0.677 0.323

Summary:
* ρ: 9.537 g/cm3
* formation energy from the elements: -318 meV per atom
* total energy: -76.09 eV for the cell shown
* crystal system: tetragonal

***

## V3Rh (GGA-PBE)

Data for a relaxed V3Rh crystal.

Cell lengths 3.600, 3.600, 4.964 Å; angles 111.26, 111.26, 90.00 degrees
Positions (direct):
V 0.750 0.250 0.500
V 0.500 0.500 0.000
V 0.250 0.750 0.500
Rh 0.000 0.000 0.000

Summary:
* ρ: 7.690 g/cm3
* formation energy from the elements: -111 meV per atom
* total energy: -35.15 eV for the cell shown
* crystal system: tetragonal

***

## V13Rh2 (GGA-PBE)

Data for a relaxed V13Rh2 crystal.

Cell lengths 6.624, 6.624, 7.492 Å; angles 63.77, 63.77, 60.00 degrees
Positions (direct):
V 0.257 0.871 0.616
V 0.129 0.743 0.384
V 0.388 0.388 0.224
V 0.743 0.743 0.384
V 0.257 0.257 0.616
V 0.871 0.257 0.616
V 0.612 0.000 0.776
V 0.000 0.388 0.224
V 0.743 0.129 0.384
V 0.000 0.612 0.776
V 0.388 0.000 0.224
V 0.612 0.612 0.776
V 0.500 0.500 0.500
Rh 0.632 0.632 0.105
Rh 0.368 0.368 0.895

Summary:
* ρ: 5.888 g/cm3
* formation energy from the elements: 519 meV per atom
* total energy: -125.46 eV for the cell shown
* crystal system: trigonal

***

## VRh4 (GGA-PBE)

Data for a relaxed VRh4 crystal.

Cell lengths 4.424, 4.424, 4.424 Å; angles 90.00, 90.00, 90.00 degrees
Site moments in Bohr magnetons follow the coordinates.
Positions (direct):
Rh 0.000 0.000 0.000  1.00
Rh 0.500 0.500 0.000  0.27
Rh 0.000 0.500 0.500  0.27
Rh 0.500 0.000 0.500  0.27
V 0.500 0.500 0.500  -0.03

Summary:
* polymorph energy (0 for the lowest one): 242 meV per atom
* ρ: 8.872 g/cm3
* formation energy from the elements: 898 meV per atom
* total energy: -34.03 eV for the cell shown
* crystal system: cubic

***

- Which value of formation energy from the elements does entry 1 give?
  -318 meV per atom